Entry 1:
Density functional theory data (PBE) for a geometry-optimized CsCoMo2S8 structure.

Geometry as POSCAR:
```
CsCoMo2S8
1.0
6.135 0.000 0.000
3.067 5.313 0.000
3.067 1.771 9.667
Cs Co Mo S
1 1 2 8
Cartesian
6.135 3.542 4.834
0.000 0.000 0.000
3.067 1.771 1.976
9.202 5.313 7.691
3.067 1.771 4.156
5.193 1.584 1.348
9.202 5.313 5.511
8.301 3.705 1.348
3.968 3.378 8.319
4.910 5.336 1.348
7.359 1.747 8.319
7.076 5.500 8.319
```

Properties
As for the raw total energy: -5.66 eV/atom.


Entry 2:
Density functional theory data (PBE) for a geometry-optimized KIr2Rh structure.

Geometry as POSCAR:
```
KIr2Rh
1.0
-1.289 -0.892 -2.322
-1.609 -1.695 1.545
-6.181 6.662 0.874
Ir K Rh
2 1 1
Cartesian
-0.006 0.006 0.001
-2.671 0.023 -0.216
-3.087 3.327 0.436
-6.407 4.050 0.312
```

Properties
Its formation energy is 0.45 eV/atom. The offset from the most stable computed form comes out at 0 kJ/mol of formula units.


| no. | ρ (kg/m³) |
| --- | --- |
| 1 | 3374 |
| 2 | 12198 |